(1)
Below is a relaxed Nb3Os2 crystal, with properties calculated at the PBE level.

## Properties
energy of formation from the pure elements	-256	meV per atom

Unit cell a=9.9193 b=9.9193 c=5.0987 alpha=90.00 beta=90.00 gamma=90.10
Last column: nearest neighbours and their distance in Å.
Element x y z (fractional)
Os 0.3192 0.3192 0.7505  2 Nb 2.54-2.56, 3 Os 2.78-2.83
Os 0.2439 0.5653 0.5012  3 Os 2.63-2.85, 7 Nb 2.79-2.89
Os 0.7561 0.4347 0.5012  3 Os 2.63-2.85, 7 Nb 2.79-2.89
Os 0.9295 0.7414 0.9964  3 Os 2.64-2.83, 7 Nb 2.80-2.91
Os 0.2586 0.0705 0.9964  3 Os 2.64-2.83, 7 Nb 2.80-2.91
Os 0.4347 0.7561 0.5012  3 Os 2.63-2.85, 7 Nb 2.79-2.89
Os 0.0705 0.2586 0.9964  3 Os 2.64-2.83, 7 Nb 2.80-2.91
Os 0.0000 0.0000 0.9972  4 Os 2.66, 8 Nb 2.84-2.95
Os 0.7414 0.9295 0.9964  3 Os 2.64-2.83, 7 Nb 2.80-2.91
Os 0.5000 0.5000 0.5277  6 Os 2.63-2.78, 4 Nb 2.85-2.90
Os 0.5653 0.2439 0.5012  3 Os 2.63-2.85, 7 Nb 2.79-2.89
Os 0.6808 0.6808 0.7505  2 Nb 2.54-2.56, 3 Os 2.78-2.83
Nb 0.6804 0.6804 0.2487  2 Os 2.54-2.56
Nb 0.1811 0.8189 0.2492  2 Nb 2.55, 1 Os 2.85
Nb 0.6021 0.3979 0.0099  3 Nb 2.75-2.87, 6 Os 2.85-3.03
Nb 0.8189 0.1811 0.2492  2 Nb 2.55, 1 Os 2.85
Nb 0.8187 0.1813 0.7491  2 Nb 2.55, 1 Os 2.84
Nb 0.5344 0.1292 0.9966  2 Nb 2.65-2.75, 4 Os 2.79-2.86
Nb 0.1813 0.8187 0.7491  2 Nb 2.55, 1 Os 2.84
Nb 0.8708 0.4656 0.9966  2 Nb 2.65-2.75, 4 Os 2.79-2.86
Nb 0.6281 0.9617 0.4983  2 Nb 2.65-2.73, 4 Os 2.80-2.87
Nb 0.3196 0.3196 0.2487  2 Os 2.54-2.56
Nb 0.1292 0.5344 0.9966  2 Nb 2.65-2.75, 4 Os 2.79-2.86
Nb 0.1047 0.1047 0.4950  3 Nb 2.73-2.94, 6 Os 2.93-3.00
Nb 0.3979 0.6021 0.0099  3 Nb 2.75-2.87, 6 Os 2.85-3.03
Nb 0.3719 0.0383 0.4983  2 Nb 2.65-2.73, 4 Os 2.80-2.87
Nb 0.4656 0.8708 0.9966  2 Nb 2.65-2.75, 4 Os 2.79-2.86
Nb 0.8953 0.8953 0.4950  3 Nb 2.73-2.94, 6 Os 2.93-3.00
Nb 0.9617 0.6281 0.4983  2 Nb 2.65-2.73, 4 Os 2.80-2.87
Nb 0.0383 0.3719 0.4983  2 Nb 2.65-2.73, 4 Os 2.80-2.87

---

(2)
Below is a relaxed MnV2Ge2 crystal, with properties calculated at the PBE level.

## Properties
energy of formation from the pure elements	-143	meV per atom
energy above the lowest structure with this stoichiometry	11	meV per atom

Unit cell a=4.1904 b=5.1054 c=6.8523 alpha=90.00 beta=107.80 gamma=90.00
Last column: nearest neighbours and their distance in Å.
Element x y z (fractional)
Ge 0.1886 0.4186 0.3772  2 Mn 2.39, 4 V 2.55-2.63
Ge 0.4247 0.5189 0.8495  3 Mn 2.48-2.70, 6 V 2.60-2.69
Ge 0.5753 0.0189 0.1505  3 Mn 2.48-2.70, 6 V 2.60-2.69
Ge 0.8114 0.9186 0.6228  2 Mn 2.39, 4 V 2.55-2.63
V 0.8100 0.4173 0.6200  6 Ge 2.55-2.63, 1 V 2.58, 1 Mn 2.63
V 0.0048 0.7413 0.0095  3 V 2.56-2.58, 5 Ge 2.60-2.69, 2 Mn 2.74
V 0.1900 0.9173 0.3800  6 Ge 2.55-2.63, 1 V 2.58, 1 Mn 2.63
V 0.9952 0.2413 0.9905  3 V 2.56-2.58, 5 Ge 2.60-2.69, 2 Mn 2.74
Mn 0.6143 0.5382 0.2285  4 Ge 2.39-2.51, 1 V 2.63
Mn 0.3857 0.0382 0.7715  4 Ge 2.39-2.51, 1 V 2.63

---

(3)
Below is a relaxed Th3Pb5S12 crystal, with properties calculated at the PBE level.

## Properties
formation energy (no corrections)	-0.933	eV/atom

Unit cell a=14.2974 b=14.2974 c=14.2974 alpha=109.47 beta=109.47 gamma=109.47
Last column: nearest neighbours and their distance in Å.
Element x y z (fractional)
Th 0.2500 0.6250 0.8750  8 S 2.96-3.01
Th 0.8750 0.7500 0.1250  8 S 2.96-3.01
Th 0.8750 0.1250 0.2500  8 S 2.96-3.01
Th 0.3750 0.7500 0.6250  8 S 2.96-3.01
Th 0.1250 0.2500 0.8750  8 S 2.96-3.01
Th 0.3750 0.6250 0.2500  8 S 2.96-3.01
Th 0.6250 0.3750 0.7500  8 S 2.96-3.01
Th 0.7500 0.8750 0.6250  8 S 2.96-3.01
Th 0.7500 0.3750 0.1250  8 S 2.96-3.01
Th 0.6250 0.2500 0.3750  8 S 2.96-3.01
Th 0.1250 0.8750 0.7500  8 S 2.96-3.01
Th 0.2500 0.1250 0.3750  8 S 2.96-3.01
Pb 0.3750 0.1250 0.7500  4 S 2.72
Pb 0.8750 0.2500 0.6250  4 S 2.72
Pb 0.2500 0.3750 0.6250  4 S 2.72
Pb 0.5000 0.5000 0.0000  6 S 2.85
Pb 0.3750 0.2500 0.1250  4 S 2.72
Pb 0.0000 0.0000 0.5000  6 S 2.85
Pb 0.1250 0.3750 0.2500  4 S 2.72
Pb 0.5000 0.0000 0.5000  6 S 2.85
Pb 0.8750 0.6250 0.7500  4 S 2.72
Pb 0.7500 0.6250 0.3750  4 S 2.72
Pb 0.6250 0.8750 0.2500  4 S 2.72
Pb 0.5000 0.5000 0.5000  6 S 2.85
Pb 0.0000 0.5000 0.0000  6 S 2.85
Pb 0.2500 0.8750 0.1250  4 S 2.72
Pb 0.7500 0.1250 0.8750  4 S 2.72
Pb 0.1250 0.7500 0.3750  4 S 2.72
Pb 0.5000 0.0000 0.0000  6 S 2.85
Pb 0.0000 0.5000 0.5000  6 S 2.85
Pb 0.6250 0.7500 0.8750  4 S 2.72
Pb 0.0000 0.0000 0.0000  6 S 2.85
S 0.5819 0.6433 0.4142  2 Pb 2.72-2.85, 2 Th 2.96-3.01, 1 S 3.02
S 0.9181 0.8323 0.5614  2 Pb 2.72-2.85, 2 Th 2.96-3.01, 1 S 3.02
S 0.2709 0.8567 0.9386  2 Pb 2.72-2.85, 2 Th 2.96-3.01, 1 S 3.02
S 0.4142 0.2709 0.3323  2 Pb 2.72-2.85, 2 Th 2.96-3.01, 1 S 3.02
S 0.5614 0.3323 0.9181  2 Pb 2.72-2.85, 2 Th 2.96-3.01, 1 S 3.02
S 0.9386 0.5819 0.1677  2 Pb 2.72-2.85, 2 Th 2.96-3.01, 1 S 3.02
S 0.0819 0.1677 0.4386  2 Pb 2.72-2.85, 2 Th 2.96-3.01, 1 S 3.02
S 0.8567 0.5858 0.9181  2 Pb 2.72-2.85, 2 Th 2.96-3.01, 1 S 3.02
S 0.3323 0.5614 0.4181  2 Pb 2.72-2.85, 2 Th 2.96-3.01, 1 S 3.02
S 0.7709 0.3323 0.9142  2 Pb 2.72-2.85, 2 Th 2.96-3.01, 1 S 3.02
S 0.1677 0.0858 0.7291  2 Pb 2.72-2.85, 2 Th 2.96-3.01, 1 S 3.02
S 0.4181 0.3567 0.5858  2 Pb 2.72-2.85, 2 Th 2.96-3.01, 1 S 3.02
S 0.5614 0.2291 0.1433  2 Pb 2.72-2.85, 2 Th 2.96-3.01, 1 S 3.02
S 0.4386 0.6677 0.0819  2 Pb 2.72-2.85, 2 Th 2.96-3.01, 1 S 3.02
S 0.6433 0.5819 0.9142  2 Pb 2.72-2.85, 2 Th 2.96-3.01, 1 S 3.02
S 0.4181 0.0614 0.3323  2 Pb 2.72-2.85, 2 Th 2.96-3.01, 1 S 3.02
S 0.0858 0.9181 0.3567  2 Pb 2.72-2.85, 2 Th 2.96-3.01, 1 S 3.02
S 0.4386 0.7709 0.8567  2 Pb 2.72-2.85, 2 Th 2.96-3.01, 1 S 3.02
S 0.6677 0.4386 0.5819  2 Pb 2.72-2.85, 2 Th 2.96-3.01, 1 S 3.02
S 0.3567 0.4181 0.0858  2 Pb 2.72-2.85, 2 Th 2.96-3.01, 1 S 3.02
S 0.1433 0.4142 0.0819  2 Pb 2.72-2.85, 2 Th 2.96-3.01, 1 S 3.02
S 0.9181 0.0858 0.8567  2 Pb 2.72-2.85, 2 Th 2.96-3.01, 1 S 3.02
S 0.6433 0.0614 0.2291  2 Pb 2.72-2.85, 2 Th 2.96-3.01, 1 S 3.02
S 0.7291 0.1433 0.0614  2 Pb 2.72-2.85, 2 Th 2.96-3.01, 1 S 3.02
S 0.2291 0.5614 0.6433  2 Pb 2.72-2.85, 2 Th 2.96-3.01, 1 S 3.02
S 0.0614 0.6433 0.7291  2 Pb 2.72-2.85, 2 Th 2.96-3.01, 1 S 3.02
S 0.4142 0.1433 0.5819  2 Pb 2.72-2.85, 2 Th 2.96-3.01, 1 S 3.02
S 0.2291 0.6677 0.0858  2 Pb 2.72-2.85, 2 Th 2.96-3.01, 1 S 3.02
S 0.6677 0.2291 0.5858  2 Pb 2.72-2.85, 2 Th 2.96-3.01, 1 S 3.02
S 0.3567 0.9386 0.7709  2 Pb 2.72-2.85, 2 Th 2.96-3.01, 1 S 3.02
S 0.7709 0.4386 0.3567  2 Pb 2.72-2.85, 2 Th 2.96-3.01, 1 S 3.02
S 0.8323 0.9181 0.0614  2 Pb 2.72-2.85, 2 Th 2.96-3.01, 1 S 3.02
S 0.5858 0.7291 0.6677  2 Pb 2.72-2.85, 2 Th 2.96-3.01, 1 S 3.02
S 0.0858 0.1677 0.2291  2 Pb 2.72-2.85, 2 Th 2.96-3.01, 1 S 3.02
S 0.1433 0.7291 0.5614  2 Pb 2.72-2.85, 2 Th 2.96-3.01, 1 S 3.02
S 0.9386 0.3567 0.2709  2 Pb 2.72-2.85, 2 Th 2.96-3.01, 1 S 3.02
S 0.3323 0.7709 0.4142  2 Pb 2.72-2.85, 2 Th 2.96-3.01, 1 S 3.02
S 0.0614 0.4181 0.8323  2 Pb 2.72-2.85, 2 Th 2.96-3.01, 1 S 3.02
S 0.1677 0.0819 0.9386  2 Pb 2.72-2.85, 2 Th 2.96-3.01, 1 S 3.02
S 0.7291 0.5858 0.1677  2 Pb 2.72-2.85, 2 Th 2.96-3.01, 1 S 3.02
S 0.8323 0.9142 0.2709  2 Pb 2.72-2.85, 2 Th 2.96-3.01, 1 S 3.02
S 0.9142 0.0819 0.6433  2 Pb 2.72-2.85, 2 Th 2.96-3.01, 1 S 3.02
S 0.9142 0.8323 0.7709  2 Pb 2.72-2.85, 2 Th 2.96-3.01, 1 S 3.02
S 0.0819 0.9142 0.1433  2 Pb 2.72-2.85, 2 Th 2.96-3.01, 1 S 3.02
S 0.2709 0.4142 0.8323  2 Pb 2.72-2.85, 2 Th 2.96-3.01, 1 S 3.02
S 0.8567 0.2709 0.4386  2 Pb 2.72-2.85, 2 Th 2.96-3.01, 1 S 3.02
S 0.5819 0.9386 0.6677  2 Pb 2.72-2.85, 2 Th 2.96-3.01, 1 S 3.02
S 0.5858 0.8567 0.4181  2 Pb 2.72-2.85, 2 Th 2.96-3.01, 1 S 3.02

---

(4)
Below is a relaxed Pm2SbF11 crystal, with properties calculated at the PBE level.

## Properties
formation energy (no corrections)	-3.203	eV/atom

Unit cell a=8.2495 b=8.5106 c=8.5106 alpha=75.41 beta=61.01 gamma=61.01
Last column: nearest neighbours and their distance in Å.
Element x y z (fractional)
Pm 0.8585 0.1833 0.8167  7 F 2.19-2.43
Pm 0.1415 0.8167 0.1833  7 F 2.19-2.43
Pm 0.6415 0.6833 0.3167  7 F 2.19-2.43
Pm 0.3585 0.3167 0.6833  7 F 2.19-2.43
F 0.9337 0.8096 0.4963  1 Sb 2.06
F 0.3326 0.2952 0.4174  1 Sb 2.03
F 0.3746 0.7166 0.2834  2 Pm 2.19-2.23
F 0.2605 0.3096 0.9963  1 Sb 2.06
F 0.4549 0.7952 0.9174  1 Sb 2.03
F 0.7605 0.4963 0.8096  1 Sb 2.06
F 0.4337 0.9963 0.3096  1 Sb 2.06
F 0.8746 0.7834 0.2166  2 Pm 2.19-2.23
F 0.5663 0.0037 0.6904  1 Sb 2.06
F 0.0663 0.1904 0.5037  1 Sb 2.06
F 0.9549 0.4174 0.2952  1 Sb 2.03
F 0.6674 0.7048 0.5826  1 Sb 2.03
F 0.6254 0.2834 0.7166  2 Pm 2.19-2.23
F 0.7395 0.6904 0.0037  1 Sb 2.06
F 0.1254 0.2166 0.7834  2 Pm 2.19-2.23
F 0.1674 0.0826 0.2048  1 Sb 2.03
F 0.0000 0.0000 0.0000  2 Pm 2.24, 2 F 2.48
F 0.5000 0.5000 0.5000  2 Pm 2.24, 2 F 2.48
F 0.8326 0.9174 0.7952  1 Sb 2.03
F 0.0451 0.5826 0.7048  1 Sb 2.03
F 0.2395 0.5037 0.1904  1 Sb 2.06
F 0.5451 0.2048 0.0826  1 Sb 2.03
Sb 0.2500 0.2500 0.2500  8 F 2.03-2.06
Sb 0.7500 0.7500 0.7500  8 F 2.03-2.06

---

(5)
Below is a relaxed Ba5HPd crystal, with properties calculated at the PBE level.

## Properties
total DFT energy (no corrections)	-39.81	eV per cell

Unit cell a=8.1718 b=8.1766 c=12.1984 alpha=111.86 beta=111.86 gamma=85.00
Last column: nearest neighbours and their distance in Å.
Element x y z (fractional)
Ba 0.4238 0.0750 0.2497  2 Pd 3.16
Ba 0.7446 0.3500 0.6570  1 H 2.65
Ba 0.1871 0.2443 0.5496  1 H 2.67
Ba 0.7451 0.6876 0.0498  1 H 2.67
Ba 0.5762 0.9250 0.7503  2 Pd 3.16
Ba 0.2554 0.6500 0.3430  1 H 2.65
Ba 0.8494 0.2454 0.1577  1 H 2.65
Ba 0.2549 0.3124 0.9502  1 H 2.67
Ba 0.1506 0.7546 0.8423  1 H 2.65
Ba 0.8129 0.7557 0.4504  1 H 2.67
Pd 0.5000 0.0000 0.0000  6 Ba 3.15-3.20
Pd 0.5000 0.0000 0.5000  6 Ba 3.15-3.20
H 0.0930 0.4066 0.7499  4 Ba 2.65-2.67
H 0.9070 0.5934 0.2501  4 Ba 2.65-2.67

---

(6)
Below is a relaxed VCdBiOs2 crystal, with properties calculated at the PBE level.

## Properties
energy of formation from the pure elements	1399	meV per atom

Unit cell a=4.6251 b=5.0367 c=4.6251 alpha=90.00 beta=90.00 gamma=90.00
Last column: nearest neighbours and their distance in Å.
Element x y z (fractional)
V 0.0000 0.0000 0.0000  4 Os 2.31, 2 Bi 2.52
Bi 0.0000 0.5000 0.0000  2 V 2.52
Os 0.5000 0.0000 0.0000  2 V 2.31
Os 0.0000 0.0000 0.5000  2 V 2.31
Cd 0.5000 0.5000 0.5000  4 Bi 3.27, 8 Os 3.42

---

Number 1: total moment 0.00 μB per cell. Number 2: total moment 4.03 μB per cell. Number 3: total moment 0.00 μB per cell. Number 4: total moment 0.08 μB per cell. Number 5: total moment 0.00 μB per cell. Number 6: total moment 0.14 μB per cell.